Below is an optimized crystal structure of PmN2F2, with properties calculated at the PBE level.

Calculated values
As for the uncorrected formation energy: -207.3 kJ per mole of atoms. As for the total energy: -0.52754 Ry/atom. The calculation puts the volume at 14.02 A^3/atom.

Cell and atoms, written as CIF:
```
data_PmN2F2
_chemical_formula_sum 'Pm4 N8 F8'
_cell_length_a 4.143
_cell_length_b 9.655
_cell_length_c 7.011
_cell_angle_alpha 90.00
_cell_angle_beta 90.00
_cell_angle_gamma 90.00
_symmetry_space_group_name_H-M 'C m c m'
_symmetry_Int_Tables_number 63
_symmetry_space_group_name_Hall '-C 2c 2'
loop_
_atom_site_label
_atom_site_type_symbol
_atom_site_fract_x
_atom_site_fract_y
_atom_site_fract_z
Pm1 Pm 0.000 0.221 0.250
N1 N 0.142 0.046 0.750
F1 F 0.000 0.310 0.564
```